No. 1
TaInCu2 after structural relaxation, computed with GGA-PBE.

As for the energy relative to the elements: 0.3004 eV per atom. As for the electronic total energy: -5.40 eV per atom. The calculation puts the density of states at the Fermi level at 11.423 states/eV per cell. For the volume, the calculation gives 200.2 Å³ per cell.

Cell and atoms, written as CIF:
```
data_TaInCu2
_chemical_formula_sum 'Ta3 In3 Cu6'
_cell_length_a 2.9290
_cell_length_b 2.9290
_cell_length_c 26.9527
_cell_angle_alpha 90.00
_cell_angle_beta 90.00
_cell_angle_gamma 120.00
_space_group_name_H-M_alt 'R -3 m'
_space_group_IT_number 166
_space_group_name_Hall '-R 3 2"'
loop_
_atom_site_label
_atom_site_type_symbol
_atom_site_fract_x
_atom_site_fract_y
_atom_site_fract_z
Ta1 Ta 0.0000 0.0000 0.0000
In1 In 0.0000 0.0000 0.5000
Cu1 Cu 0.0000 0.0000 0.2517
```

No. 2
Ni2RhCl after structural relaxation, computed with GGA-PBE.

The energy relative to the lowest polymorph listed for this composition is 0.0 meV/atom. As for the electronic total energy: -4.99 eV per atom. The calculation puts the density of states at the Fermi level at 6.489 states/eV per cell. For the volume, the calculation gives 57.2 Å³ per cell. The raw formation energy is 0.202 eV per atom.

Cell and atoms, written as CIF:
```
data_Ni2RhCl
_chemical_formula_sum 'Ni2 Rh1 Cl1'
_cell_length_a 2.837
_cell_length_b 2.880
_cell_length_c 7.005
_cell_angle_alpha 90.00
_cell_angle_beta 90.00
_cell_angle_gamma 90.00
_space_group_name_H-M_alt 'P m m m'
_space_group_IT_number 47
loop_
_space_group_symop_operation_xyz
'x,y,z'
'-x,-y,-z'
'-x,-y,z'
'x,y,-z'
'x,-y,-z'
'-x,y,z'
'-x,y,-z'
'x,-y,z'
loop_
_atom_site_label
_atom_site_type_symbol
_atom_site_fract_x
_atom_site_fract_y
_atom_site_fract_z
Ni1 Ni 0.000 0.000 0.230
Rh1 Rh 0.500 0.500 0.000
Cl1 Cl 0.500 0.000 0.500
```

No. 3
BaBe3Ir after structural relaxation, computed with GGA-PBE.

The energy relative to the lowest polymorph listed for this composition is 0.0 meV/atom. As for the energy relative to the elements: -0.0991 eV per atom. As for the electronic total energy: -4.49 eV per atom. The calculation puts the density of states at the Fermi level at 2.653 states/eV per cell. For the volume, the calculation gives 91.4 Å³ per cell.

Cell and atoms, written as CIF:
```
data_BaBe3Ir
_chemical_formula_sum 'Ba1 Be3 Ir1'
_cell_length_a 4.504
_cell_length_b 4.504
_cell_length_c 4.504
_cell_angle_alpha 90.00
_cell_angle_beta 90.00
_cell_angle_gamma 90.00
_space_group_name_H-M_alt 'P m -3 m'
_space_group_IT_number 221
_space_group_name_Hall '-P 4 2 3'
loop_
_atom_site_label
_atom_site_type_symbol
_atom_site_fract_x
_atom_site_fract_y
_atom_site_fract_z
Ba1 Ba 0.000 0.000 0.000
Be1 Be 0.000 0.500 0.500
Ir1 Ir 0.500 0.500 0.500
```